Record 1
ZnSiPb | GGA-PBE | optimized geometry

```
ZnSiPb
1.0
-2.1177 3.4614 1.1292
-1.5442 -3.8085 0.9229
2.1655 0.0609 3.8747
Pb Si Zn
1 1 1
Direct
0.0000 0.0000 0.9999
0.6667 0.3333 0.4999
0.3333 0.6667 0.5002
```

## Properties
Offset from the most stable computed form   0.000 eV per atom
SG   No. 187

***

Record 2
Zn2SiPb | GGA-PBE | optimized geometry

```
Zn2SiPb
1.0
2.5701 -4.1204 0.1581
-2.0721 -4.2061 -1.2739
1.3136 -2.2038 -4.1262
Pb Zn Si
1 2 1
Direct
0.5000 0.5000 0.5000
0.2500 0.2500 0.2500
0.7500 0.7500 0.7500
0.0000 0.0000 0.0000
```

## Properties
Offset from the most stable computed form   0.182 eV per atom
SG   No. 225

***

Record 3
ZnSi2Pb | GGA-PBE | optimized geometry

```
ZnSi2Pb
1.0
5.3500 0.0012 0.0111
1.2228 5.2084 -0.0111
-2.4678 -3.6375 3.0497
Pb Si Zn
1 2 1
Direct
0.2499 0.7499 0.5000
0.9465 0.9465 0.0000
0.7625 0.2625 0.5000
0.5411 0.5411 0.0000
```

## Properties
Offset from the most stable computed form   0.190 eV per atom
SG   No. 44

***

Record 4
Zn2SiPb | GGA-PBE | optimized geometry

```
Zn2SiPb
1.0
-5.6832 0.3699 0.1497
-2.7614 -4.5292 -2.0782
3.6009 1.9524 3.9597
Pb Si Zn
1 1 2
Direct
0.5047 0.5047 0.0000
0.7809 0.2809 0.5000
0.9935 0.9935 0.0000
0.2209 0.7209 0.5000
```

## Properties
Offset from the most stable computed form   0.150 eV per atom
SG   No. 44

***

Record 5
Zn2SiPb | GGA-PBE | optimized geometry

```
Zn2SiPb
1.0
-3.0211 1.9014 2.4485
-3.1953 -0.7499 -3.3602
-1.2740 -3.9169 1.4696
Pb Si Zn
1 1 2
Direct
0.0000 0.5246 0.5003
0.5000 0.7421 0.9439
0.0000 0.9997 0.9326
0.5000 0.2337 0.1231
```

## Properties
Offset from the most stable computed form   0.042 eV per atom
SG   No. 6

***

Record 6
ZnSi2Pb | GGA-PBE | optimized geometry

```
ZnSi2Pb
1.0
-1.9040 3.1165 2.2390
-2.2689 1.1015 -3.4627
-8.8505 -3.8465 1.9258
Pb Zn Si
2 2 4
Direct
0.0000 0.0000 0.0000
0.7500 0.2500 0.5000
0.5000 0.5000 0.0000
0.2500 0.7500 0.5000
0.5249 0.1250 0.2500
0.2251 0.6250 0.2500
0.3750 0.4751 0.7500
0.8750 0.7749 0.7500
```

## Properties
Offset from the most stable computed form   0.162 eV per atom
SG   No. 122

***

Record 7
Zn2SiPb | GGA-PBE | optimized geometry

```
Zn2SiPb
1.0
-3.5353 0.3070 -0.6955
-0.7153 -5.3880 1.2580
-1.1787 -2.7637 4.7720
Pb Si Zn
1 1 2
Direct
0.5000 0.5000 0.5000
0.0000 0.0000 0.5000
0.0000 0.0000 0.0000
0.5000 0.5000 0.0000
```

## Properties
Offset from the most stable computed form   0.166 eV per atom
SG   No. 10

***

Record 8
Zn2SiPb | GGA-PBE | optimized geometry

```
Zn2SiPb
1.0
-4.4242 -3.0033 5.9042
-5.7175 -4.6202 3.0687
-2.8160 -5.8472 4.6187
Pb Si Zn
1 1 2
Direct
0.2500 0.2500 0.2500
0.7500 0.7500 0.7500
0.0147 0.0147 0.0147
0.4853 0.4853 0.4853
```

## Properties
Offset from the most stable computed form   0.065 eV per atom
SG   No. 166

***

Record 9
Zn2SiPb | GGA-PBE | optimized geometry

```
Zn2SiPb
1.0
-2.6447 4.4275 -0.8415
-2.1012 1.0514 4.6674
4.8004 -0.5915 -1.9778
Pb Si Zn
1 1 2
Direct
0.2500 0.7500 0.5000
0.7500 0.2500 0.5000
0.9656 0.9656 0.0000
0.5344 0.5344 0.0000
```

## Properties
Offset from the most stable computed form   0.108 eV per atom
SG   No. 71

***

Record 10
Zn4SiPb | GGA-PBE | optimized geometry

```
Zn4SiPb
1.0
0.0000 3.8240 3.8240
3.8240 0.0000 3.8240
3.8240 3.8240 0.0000
Zn Si Pb
4 1 1
Direct
0.8777 0.3741 0.3741
0.3741 0.3741 0.8777
0.3741 0.8777 0.3741
0.3741 0.3741 0.3741
0.0000 0.0000 0.0000
0.7500 0.7500 0.7500
```

## Properties
SG   No. 216

***

Record 11
ZnSi2Pb | GGA-PBE | optimized geometry

```
ZnSi2Pb
1.0
-4.1192 1.5375 3.9099
-2.6441 -3.8535 3.5747
5.3683 1.5819 -1.8159
Pb Si Zn
1 2 1
Direct
0.7500 0.2500 0.5000
0.0000 0.0000 0.0000
0.5000 0.5000 0.0000
0.2500 0.7500 0.5000
```

## Properties
Offset from the most stable computed form   0.306 eV per atom
SG   No. 139

***

Record 12
Zn2SiPb | GGA-PBE | optimized geometry

```
Zn2SiPb
1.0
-2.8055 -0.3837 2.0995
1.7665 -1.6437 2.0601
2.5882 5.3675 4.4394
Pb Si Zn
1 1 2
Direct
0.5000 0.2500 0.2500
0.5000 0.7500 0.7500
0.0000 0.1308 0.9355
0.0000 0.3692 0.5645
```

## Properties
Offset from the most stable computed form   0.066 eV per atom
SG   No. 10

***

So what do the calculations give for formation energy from raw total energies? Going down the list: 231.6; 411.5; 447.6; 379.6; 271.2; 419.4; 395.2; 294.1; 337.4; 261.9; 563.1; 294.8 meV/atom.
So what do the calculations give for theoretical density? Going down the list: 7.321; 7.495; 6.434; 7.434; 6.872; 6.355; 7.392; 7.393; 7.396; 7.378; 6.730; 7.478 g/cm³.